Compound: HgPdW3
Source: Alexandria via LeMat-Bulk
Functional: PBE
Structure: relaxed

Relative energy among the computed polymorphs = 870 meV per atom
ρ = 12.3 g cm⁻³
N(E_F) = 7.46 states/eV/cell
Energy = -5.74 eV per atom
Size of the total moment = 0.00 μB/cell
Space-group type = Pm-3m (221)
Formation energy from the elements = 3130 meV per atom
Volume = 23.229 Å³ per atom

Cell and atoms, written as CIF:
```
data_HgPdW3
_cell_length_a 4.879
_cell_length_b 4.879
_cell_length_c 4.879
_cell_angle_alpha 90.00
_cell_angle_beta 90.00
_cell_angle_gamma 90.00
_space_group_name_H-M_alt 'P 1'
_space_group_IT_number 1
loop_
_space_group_symop_operation_xyz
'x,y,z'
loop_
_atom_site_label
_atom_site_type_symbol
_atom_site_fract_x
_atom_site_fract_y
_atom_site_fract_z
Hg1 Hg 0.000 0.000 0.000
Pd1 Pd 0.500 0.500 0.500
W1 W 0.000 0.000 0.500
W2 W 0.000 0.500 0.000
W3 W 0.500 0.000 0.000
```